# 1
Computed, not measured: Sr2CdBr6 after structural relaxation at the PBE level of DFT.

The structure belongs to space group P4_2/mnm (No. 136); the cell edges are 7.0105, 7.0105 and 13.5367 Å and the angles 90.00°, 90.00° and 90.00°. The asymmetric unit holds Sr at (0.0000, 0.0000, 0.1660), Cd at (0.0000, 0.0000, 0.5000), Br at (0.1899, 0.1899, 0.3454) and Br at (0.2102, 0.2102, 0.0000).

The calculation puts the total energy at -58.5 eV for the cell shown. For the formation energy (no corrections), the calculation gives -14.95 eV per formula unit. The value obtained for the excess energy over the best structure of this formula in the dataset is 0.020 eV/atom.

# 2
Computed, not measured: SrCdBr4 after structural relaxation at the PBE level of DFT.

The structure belongs to space group I4_1/amd (No. 141, origin choice 2); the cell edges are 9.9913, 9.9913 and 9.1826 Å and the angles 90.00°, 90.00° and 90.00°. The asymmetric unit holds Sr at (0.0000, 0.2500, 0.3750), Cd at (0.0000, 0.2500, 0.8750) and Br at (0.0000, 0.0627, 0.6738).

The calculation puts the total energy at -71.8 eV for the cell shown. For the formation energy (no corrections), the calculation gives -8.66 eV per formula unit. The value obtained for the excess energy over the best structure of this formula in the dataset is 0.016 eV/atom.

# 3
Computed, not measured: Sr3CdBr after structural relaxation at the PBE level of DFT.

The structure belongs to space group Pm-3m (No. 221); the cell edges are 5.9686, 5.9686 and 5.9686 Å and the angles 90.00°, 90.00° and 90.00°. The asymmetric unit holds Sr at (0.0000, 0.0000, 0.5000), Cd at (0.5000, 0.5000, 0.5000) and Br at (0.0000, 0.0000, 0.0000).

The calculation puts the total energy at -9.6 eV for the cell shown. For the formation energy (no corrections), the calculation gives -2.01 eV per formula unit. The value obtained for the excess energy over the best structure of this formula in the dataset is 0.000 eV/atom.

# 4
Computed, not measured: SrTlCdBr5 after structural relaxation at the PBE level of DFT.

The structure belongs to space group C2/c (No. 15); the cell edges are 9.8399, 13.0572 and 10.8687 Å and the angles 90.00°, 113.62° and 90.00°. The asymmetric unit holds Sr at (0.0000, 0.0000, 0.0000), Tl at (0.0000, 0.3410, 0.2500), Cd at (0.0000, 0.3220, 0.7500), Br at (0.0000, 0.0961, 0.2500), Br at (0.1308, 0.2094, 0.6270) and Br at (0.1734, 0.4441, 0.9438).

The calculation puts the total energy at -95.5 eV for the cell shown. For the formation energy (no corrections), the calculation gives -10.53 eV per formula unit.

# 5
Computed, not measured: Ta2CdBr after structural relaxation at the PBE level of DFT.

The structure belongs to space group Imm2 (No. 44); the cell edges are 3.0757, 5.1481 and 10.4674 Å and the angles 90.00°, 90.00° and 90.00°. The asymmetric unit holds Ta at (0.0000, 0.0000, 0.0000), Ta at (0.0000, 0.5000, 0.2885), Cd at (0.0000, 0.0000, 0.5053) and Br at (0.0000, 0.5000, 0.7202).

The calculation puts the total energy at -48.0 eV for the cell shown. For the formation energy (no corrections), the calculation gives 2.27 eV per formula unit. The value obtained for the excess energy over the best structure of this formula in the dataset is 0.422 eV/atom.

# 6
Computed, not measured: Ta2CdBr after structural relaxation at the PBE level of DFT.

The structure belongs to space group C2/m (No. 12); the cell edges are 10.2654, 3.0746 and 5.1998 Å and the angles 90.00°, 104.33° and 90.00°. The asymmetric unit holds Ta at (0.2439, 0.0000, 0.2629), Cd at (0.0000, 0.0000, 0.5000) and Br at (0.0000, 0.5000, 0.0000).

The calculation puts the total energy at -47.9 eV for the cell shown. For the formation energy (no corrections), the calculation gives 2.34 eV per formula unit. The value obtained for the excess energy over the best structure of this formula in the dataset is 0.439 eV/atom.